The following is a PBEsol calculation of Ni2SbAu after structural relaxation, from Alexandria. Values from VASP.

```
&SYSTEM
  ibrav = 0, nat = 4, ntyp = 3
/
ATOMIC_SPECIES
Ni 58.69 Ni.upf
Sb 121.76 Sb.upf
Au 196.97 Au.upf
CELL_PARAMETERS angstrom
-1.337 0.018 3.423
3.537 -0.057 1.382
-1.034 4.196 -2.398
ATOMIC_POSITIONS crystal
Ni 0.003 0.003 0.006
Ni 0.761 0.261 0.522
Sb 0.493 0.493 0.985
Au 0.243 0.743 0.487
```

Raw formation energy = 0.05 eV/f.u.
Volume = 14.57 Å³ per atom

***

The following is a PBEsol calculation of Ni2SbAu after structural relaxation, from Alexandria. Values from VASP.

```
&SYSTEM
  ibrav = 0, nat = 4, ntyp = 3
/
ATOMIC_SPECIES
Ni 58.69 Ni.upf
Au 196.97 Au.upf
Sb 121.76 Sb.upf
CELL_PARAMETERS angstrom
-1.835 -0.066 2.707
-2.436 -2.957 -1.723
2.482 -2.982 1.611
ATOMIC_POSITIONS crystal
Ni 0.000 0.000 0.500
Ni 0.000 0.500 0.000
Au 0.500 0.500 0.500
Sb 0.500 0.000 0.000
```

Raw formation energy = -0.07 eV/f.u.
Volume = 14.43 Å³ per atom

***

The following is a PBEsol calculation of Ni6SbAu after structural relaxation, from Alexandria. Values from VASP.

```
&SYSTEM
  ibrav = 0, nat = 32, ntyp = 3
/
ATOMIC_SPECIES
Ni 58.69 Ni.upf
Au 196.97 Au.upf
Sb 121.76 Sb.upf
CELL_PARAMETERS angstrom
-5.354 3.183 -1.103
-0.272 -2.644 5.740
4.205 8.500 4.114
ATOMIC_POSITIONS crystal
Ni 0.500 0.500 0.000
Ni 0.000 0.000 0.000
Ni 0.750 0.250 0.251
Ni 0.375 0.124 0.875
Ni 0.250 0.750 0.749
Ni 0.124 0.375 0.875
Ni 0.125 0.374 0.625
Ni 0.000 0.000 0.500
Ni 0.125 0.374 0.375
Ni 0.875 0.626 0.625
Ni 0.875 0.626 0.375
Ni 0.500 0.500 0.500
Ni 0.250 0.750 0.251
Ni 0.374 0.125 0.625
Ni 0.750 0.250 0.749
Ni 0.876 0.625 0.125
Ni 0.124 0.375 0.125
Ni 0.626 0.875 0.375
Ni 0.625 0.876 0.125
Ni 0.375 0.124 0.125
Ni 0.626 0.875 0.625
Ni 0.374 0.125 0.375
Ni 0.625 0.876 0.875
Ni 0.876 0.625 0.875
Au 0.500 0.500 0.248
Au 0.251 0.749 0.000
Au 0.500 0.500 0.752
Au 0.749 0.251 0.000
Sb 0.251 0.749 0.500
Sb 0.000 0.000 0.247
Sb 0.000 0.000 0.753
Sb 0.749 0.251 0.500
```

Raw formation energy = -0.42 eV/f.u.
Volume = 12.19 Å³ per atom

***

The following is a PBEsol calculation of NiSbAu2 after structural relaxation, from Alexandria. Values from VASP.

```
&SYSTEM
  ibrav = 0, nat = 4, ntyp = 3
/
ATOMIC_SPECIES
Sb 121.76 Sb.upf
Au 196.97 Au.upf
Ni 58.69 Ni.upf
CELL_PARAMETERS angstrom
-0.177 3.015 2.549
-0.519 -2.729 3.192
4.340 -0.326 -2.378
ATOMIC_POSITIONS crystal
Sb 0.231 0.731 0.462
Au 0.760 0.260 0.521
Au 0.995 0.995 0.991
Ni 0.513 0.513 0.026
```

Raw formation energy = 0.31 eV/f.u.
Volume = 16.84 Å³ per atom

***

The following is a PBEsol calculation of NiSbAu2 after structural relaxation, from Alexandria. Values from VASP.

```
&SYSTEM
  ibrav = 0, nat = 4, ntyp = 3
/
ATOMIC_SPECIES
Ni 58.69 Ni.upf
Au 196.97 Au.upf
Sb 121.76 Sb.upf
CELL_PARAMETERS angstrom
-1.909 0.942 2.662
-0.613 -2.207 2.523
5.030 1.843 5.136
ATOMIC_POSITIONS crystal
Ni 0.500 0.500 0.499
Au 0.002 0.002 0.994
Au 0.759 0.759 0.724
Sb 0.239 0.239 0.283
```

Raw formation energy = 0.39 eV/f.u.
Volume = 18.00 Å³ per atom

***

The following is a PBEsol calculation of Sc2Ni2Au after structural relaxation, from Alexandria. Values from VASP.

```
&SYSTEM
  ibrav = 0, nat = 5, ntyp = 3
/
ATOMIC_SPECIES
Au 196.97 Au.upf
Sc 44.96 Sc.upf
Ni 58.69 Ni.upf
CELL_PARAMETERS angstrom
4.782 0.000 0.000
-2.391 4.377 0.008
0.000 2.605 4.010
ATOMIC_POSITIONS crystal
Au 0.000 0.000 0.000
Sc 0.250 0.500 0.250
Sc 0.750 0.500 0.750
Ni 0.350 0.700 0.650
Ni 0.650 0.300 0.350
```

Volume = 16.77 Å³ per atom
Formation enthalpy at 0 K = -376 meV/atom

***

The following is a PBEsol calculation of Sc2Ni2Au after structural relaxation, from Alexandria. Values from VASP.

```
&SYSTEM
  ibrav = 0, nat = 10, ntyp = 3
/
ATOMIC_SPECIES
Au 196.97 Au.upf
Sc 44.96 Sc.upf
Ni 58.69 Ni.upf
CELL_PARAMETERS angstrom
-1.947 2.058 -1.711
-3.209 -5.375 -2.813
-4.528 0.004 5.158
ATOMIC_POSITIONS crystal
Au 0.000 0.000 0.000
Au 0.000 0.500 0.500
Sc 0.500 0.326 0.174
Sc 0.500 0.174 0.674
Sc 0.500 0.826 0.326
Sc 0.500 0.674 0.826
Ni 0.000 0.124 0.376
Ni 0.000 0.624 0.124
Ni 0.000 0.376 0.876
Ni 0.000 0.876 0.624
```

Volume = 15.59 Å³ per atom
Formation enthalpy at 0 K = -606 meV/atom

***

The following is a PBEsol calculation of ScNi2Au after structural relaxation, from Alexandria. Values from VASP.

```
&SYSTEM
  ibrav = 0, nat = 4, ntyp = 3
/
ATOMIC_SPECIES
Ni 58.69 Ni.upf
Au 196.97 Au.upf
Sc 44.96 Sc.upf
CELL_PARAMETERS angstrom
-3.192 -1.251 1.508
1.953 -1.786 2.650
0.443 4.749 0.227
ATOMIC_POSITIONS crystal
Ni 0.000 0.000 0.000
Ni 0.250 0.750 0.500
Au 0.750 0.250 0.500
Sc 0.500 0.500 0.000
```

Volume = 13.93 Å³ per atom
Formation enthalpy at 0 K = -468 meV/atom

***

The following is a PBEsol calculation of Sc2NiAu after structural relaxation, from Alexandria. Values from VASP.

```
&SYSTEM
  ibrav = 0, nat = 4, ntyp = 3
/
ATOMIC_SPECIES
Sc 44.96 Sc.upf
Au 196.97 Au.upf
Ni 58.69 Ni.upf
CELL_PARAMETERS angstrom
3.277 0.000 0.000
0.000 4.588 0.000
0.000 0.000 4.588
ATOMIC_POSITIONS crystal
Sc 0.000 0.500 0.000
Sc 0.000 0.000 0.500
Au 0.500 0.500 0.500
Ni 0.500 0.000 0.000
```

Volume = 17.25 Å³ per atom
Formation enthalpy at 0 K = -616 meV/atom

***

The following is a PBEsol calculation of ScNi4Au after structural relaxation, from Alexandria. Values from VASP.

```
&SYSTEM
  ibrav = 0, nat = 6, ntyp = 3
/
ATOMIC_SPECIES
Ni 58.69 Ni.upf
Au 196.97 Au.upf
Sc 44.96 Sc.upf
CELL_PARAMETERS angstrom
-2.599 3.515 1.861
-4.512 0.597 -1.364
-3.542 -0.999 3.005
ATOMIC_POSITIONS crystal
Ni 0.375 0.375 0.375
Ni 0.876 0.375 0.375
Ni 0.375 0.375 0.876
Ni 0.375 0.876 0.375
Au 0.000 0.000 0.000
Sc 0.750 0.750 0.750
```

Volume = 12.64 Å³ per atom
Formation enthalpy at 0 K = -419 meV/atom